# 1
This record from the Alexandria database describes NpTeF2 after structural relaxation. The functional is GGA-PBE.

Cell and atoms, written as POSCAR:
```
NpTeF2
1.0
4.110 0.000 0.000
-2.055 5.776 0.000
0.000 0.000 7.000
Np Te F
2 2 4
Direct
0.243 0.485 0.250 Np
0.757 0.515 0.750 Np
0.969 0.939 0.250 Te
0.031 0.061 0.750 Te
0.302 0.604 0.572 F
0.698 0.396 0.428 F
0.698 0.396 0.072 F
0.302 0.604 0.928 F
```

## Properties
- crystal system = orthorhombic
- electronic total energy (eV per atom) = -7.317
- formation energy without anion corrections (meV/atom) = -2361

=====

# 2
This record from the Alexandria database describes NpTeF after structural relaxation. The functional is GGA-PBE.

Cell and atoms, written as POSCAR:
```
NpTeF
1.0
4.366 0.000 0.000
0.000 4.215 0.000
0.000 -2.108 3.651
Np Te F
1 1 1
Direct
0.167 0.667 0.333 Np
0.667 0.333 0.667 Te
0.167 0.000 0.000 F
```

## Properties
- ΔE to the lowest computed polymorph (kJ per mole of atoms) = 0.00
- crystal system = hexagonal
- electronic total energy (eV per atom) = -7.900
- formation energy without anion corrections (meV/atom) = -1915

=====

# 3
This record from the Alexandria database describes Np2Te3F2 after structural relaxation. The functional is GGA-PBE.

Cell and atoms, written as POSCAR:
```
Np2Te3F2
1.0
-6.523 -3.708 1.170
4.172 -6.428 2.884
-0.609 4.544 11.007
Np Te F
8 12 8
Direct
0.540 0.250 0.000 Np
0.460 0.750 0.500 Np
0.460 0.750 0.000 Np
0.540 0.250 0.500 Np
0.776 0.520 0.250 Np
0.224 0.480 0.750 Np
0.224 0.020 0.250 Np
0.776 0.980 0.750 Np
0.086 0.709 0.122 Te
0.914 0.291 0.622 Te
0.914 0.209 0.378 Te
0.086 0.791 0.878 Te
0.914 0.291 0.878 Te
0.086 0.709 0.378 Te
0.086 0.791 0.622 Te
0.914 0.209 0.122 Te
0.415 0.349 0.250 Te
0.585 0.651 0.750 Te
0.585 0.849 0.250 Te
0.415 0.151 0.750 Te
0.649 0.536 0.055 F
0.351 0.464 0.555 F
0.351 0.036 0.445 F
0.649 0.964 0.945 F
0.351 0.464 0.945 F
0.649 0.536 0.445 F
0.649 0.964 0.555 F
0.351 0.036 0.055 F
```

## Properties
- crystal system = orthorhombic
- electronic total energy (eV per atom) = -7.174
- formation energy without anion corrections (meV/atom) = -1596

=====

# 4
This record from the Alexandria database describes NpTeF after structural relaxation. The functional is GGA-PBE.

Cell and atoms, written as POSCAR:
```
NpTeF
1.0
-2.951 1.112 -7.111
5.830 -2.432 -2.799
-1.011 -5.548 2.715
Np Te F
4 4 4
Direct
0.235 0.817 0.638 Np
0.265 0.317 0.362 Np
0.765 0.183 0.362 Np
0.735 0.683 0.638 Np
0.890 0.593 0.199 Te
0.610 0.093 0.801 Te
0.110 0.407 0.801 Te
0.390 0.907 0.199 Te
0.448 0.574 0.650 F
0.052 0.074 0.350 F
0.552 0.426 0.350 F
0.948 0.926 0.650 F
```

## Properties
- ΔE to the lowest computed polymorph (kJ per mole of atoms) = 7.11
- crystal system = monoclinic
- electronic total energy (eV per atom) = -7.826
- formation energy without anion corrections (meV/atom) = -1841

=====

# 5
This record from the Alexandria database describes Np2TeF after structural relaxation. The functional is GGA-PBE.

Cell and atoms, written as POSCAR:
```
Np2TeF
1.0
-2.049 -1.485 3.076
-0.992 -3.858 0.056
4.683 -3.200 4.154
Np Te F
2 1 1
Direct
0.730 0.730 0.809 Np
0.270 0.270 0.191 Np
0.500 0.500 0.500 Te
0.000 0.000 0.000 F
```

## Properties
- crystal system = trigonal
- electronic total energy (eV per atom) = -8.689
- formation energy without anion corrections (meV/atom) = -966

=====

# 6
This record from the Alexandria database describes NpTeF after structural relaxation. The functional is GGA-PBE.

Cell and atoms, written as POSCAR:
```
NpTeF
1.0
3.260 0.000 0.000
0.000 8.109 0.000
0.000 0.000 12.160
F Te Np
4 4 4
Direct
0.250 0.300 0.479 F
0.750 0.700 0.521 F
0.250 0.200 0.979 F
0.750 0.800 0.021 F
0.250 0.512 0.778 Te
0.750 0.488 0.222 Te
0.250 0.988 0.278 Te
0.750 0.012 0.722 Te
0.250 0.606 0.017 Np
0.750 0.394 0.983 Np
0.250 0.894 0.517 Np
0.750 0.106 0.483 Np
```

## Properties
- ΔE to the lowest computed polymorph (kJ per mole of atoms) = 35.49
- crystal system = orthorhombic
- electronic total energy (eV per atom) = -7.532
- formation energy without anion corrections (meV/atom) = -1547

=====

# 7
This record from the Alexandria database describes NpTeF after structural relaxation. The functional is GGA-PBE.

Cell and atoms, written as POSCAR:
```
NpTeF
1.0
3.486 0.000 0.000
0.000 3.486 0.000
-1.743 -1.743 5.424
Np Te F
1 1 1
Direct
0.702 0.702 0.405 Np
0.011 0.011 0.023 Te
0.286 0.286 0.573 F
```

## Properties
- ΔE to the lowest computed polymorph (kJ per mole of atoms) = 39.88
- crystal system = tetragonal
- electronic total energy (eV per atom) = -7.486
- formation energy without anion corrections (meV/atom) = -1502

=====

# 8
This record from the Alexandria database describes ThNpF6 after structural relaxation. The functional is GGA-PBE.

Cell and atoms, written as POSCAR:
```
ThNpF6
1.0
-3.406 0.743 3.303
-2.544 -3.701 1.700
2.093 -1.776 6.048
Th Np F
1 1 6
Direct
0.500 0.500 0.500 Th
0.000 0.000 0.000 Np
0.069 0.069 0.297 F
0.069 0.564 0.297 F
0.436 0.931 0.703 F
0.931 0.436 0.703 F
0.931 0.931 0.703 F
0.564 0.069 0.297 F
```

## Properties
- crystal system = trigonal
- electronic total energy (eV per atom) = -7.022
- formation energy without anion corrections (meV/atom) = -3074

=====

# 9
This record from the Alexandria database describes ThNp2F11 after structural relaxation. The functional is GGA-PBE.

Cell and atoms, written as POSCAR:
```
ThNp2F11
1.0
7.504 0.000 3.911
3.443 7.799 2.547
0.134 -0.072 8.896
Th Np F
2 4 22
Direct
0.750 0.750 0.750 Th
0.250 0.250 0.250 Th
0.646 0.681 0.319 Np
0.354 0.319 0.681 Np
0.854 0.181 0.819 Np
0.146 0.819 0.181 Np
0.647 0.705 0.569 F
0.353 0.295 0.431 F
0.079 0.569 0.705 F
0.853 0.931 0.795 F
0.921 0.431 0.295 F
0.147 0.069 0.205 F
0.421 0.795 0.931 F
0.579 0.205 0.069 F
0.500 0.500 0.500 F
0.000 0.000 0.000 F
0.871 0.782 0.218 F
0.129 0.218 0.782 F
0.629 0.282 0.718 F
0.371 0.718 0.282 F
0.447 0.969 0.316 F
0.553 0.031 0.684 F
0.269 0.316 0.969 F
0.053 0.184 0.531 F
0.731 0.684 0.031 F
0.947 0.816 0.469 F
0.231 0.531 0.184 F
0.769 0.469 0.816 F
```

## Properties
- crystal system = orthorhombic
- electronic total energy (eV per atom) = -7.574
- formation energy without anion corrections (meV/atom) = -3725

=====

# 10
This record from the Alexandria database describes NpTl6F12 after structural relaxation. The functional is GGA-PBE.

Cell and atoms, written as POSCAR:
```
NpTl6F12
1.0
7.717 0.188 -1.437
-1.762 7.516 -1.437
0.145 0.188 7.849
Np Tl F
1 6 12
Direct
0.000 0.000 0.000 Np
0.161 0.345 0.605 Tl
0.655 0.395 0.839 Tl
0.395 0.839 0.655 Tl
0.839 0.655 0.395 Tl
0.345 0.605 0.161 Tl
0.605 0.161 0.345 Tl
0.427 0.193 0.580 F
0.193 0.580 0.427 F
0.580 0.427 0.193 F
0.573 0.807 0.420 F
0.807 0.420 0.573 F
0.420 0.573 0.807 F
0.020 0.922 0.741 F
0.259 0.980 0.078 F
0.078 0.259 0.980 F
0.980 0.078 0.259 F
0.741 0.020 0.922 F
0.922 0.741 0.020 F
```

## Properties
- crystal system = trigonal
- electronic total energy (eV per atom) = -4.860
- formation energy without anion corrections (meV/atom) = -2250

=====

# 11
This record from the Alexandria database describes Np2TlF11 after structural relaxation. The functional is GGA-PBE.

Cell and atoms, written as POSCAR:
```
Np2TlF11
1.0
-4.752 -2.306 8.225
-7.265 -5.871 -0.035
1.670 -7.996 4.531
Np Tl F
4 2 22
Direct
0.655 0.662 0.338 Np
0.345 0.338 0.662 Np
0.845 0.162 0.838 Np
0.155 0.838 0.162 Np
0.750 0.750 0.750 Tl
0.250 0.250 0.250 Tl
0.643 0.684 0.555 F
0.357 0.316 0.445 F
0.118 0.555 0.684 F
0.857 0.945 0.816 F
0.882 0.445 0.316 F
0.143 0.055 0.184 F
0.382 0.816 0.945 F
0.618 0.184 0.055 F
0.500 0.500 0.500 F
0.000 0.000 0.000 F
0.803 0.804 0.196 F
0.197 0.196 0.804 F
0.697 0.304 0.696 F
0.303 0.696 0.304 F
0.435 0.886 0.356 F
0.565 0.114 0.644 F
0.323 0.356 0.886 F
0.065 0.144 0.614 F
0.677 0.644 0.114 F
0.935 0.856 0.386 F
0.177 0.614 0.144 F
0.823 0.386 0.856 F
```

## Properties
- crystal system = orthorhombic
- electronic total energy (eV per atom) = -6.602
- formation energy without anion corrections (meV/atom) = -3114

=====

# 12
This record from the Alexandria database describes NpTl4F10 after structural relaxation. The functional is GGA-PBE.

Cell and atoms, written as POSCAR:
```
NpTl4F10
1.0
5.818 0.000 2.627
2.909 6.883 1.313
0.076 0.000 7.587
Np Tl F
1 4 10
Direct
0.000 0.000 0.000 Np
0.406 0.782 0.406 Tl
0.812 0.594 0.782 Tl
0.188 0.406 0.218 Tl
0.594 0.218 0.594 Tl
0.250 0.500 0.500 F
0.723 0.244 0.920 F
0.033 0.080 0.244 F
0.357 0.920 0.756 F
0.886 0.756 0.080 F
0.277 0.756 0.080 F
0.750 0.500 0.500 F
0.114 0.244 0.920 F
0.643 0.080 0.244 F
0.967 0.920 0.756 F
```

## Properties
- crystal system = tetragonal
- electronic total energy (eV per atom) = -5.146
- formation energy without anion corrections (meV/atom) = -2405

=====

# 13
This record from the Alexandria database describes NpTl3F6 after structural relaxation. The functional is GGA-PBE.

Cell and atoms, written as POSCAR:
```
NpTl3F6
1.0
-6.200 0.007 0.999
0.301 -1.959 -5.959
3.256 -4.884 4.422
Np Tl F
1 3 6
Direct
0.000 0.000 0.000 Np
0.750 0.250 0.500 Tl
0.500 0.500 0.000 Tl
0.250 0.750 0.500 Tl
0.672 0.672 0.749 F
0.923 0.923 0.251 F
0.077 0.077 0.749 F
0.328 0.328 0.251 F
0.775 0.225 0.000 F
0.225 0.775 0.000 F
```

## Properties
- ΔE to the lowest computed polymorph (kJ per mole of atoms) = 0.42
- crystal system = orthorhombic
- electronic total energy (eV per atom) = -5.559
- formation energy without anion corrections (meV/atom) = -2433

=====

# 14
This record from the Alexandria database describes NpTl2F11 after structural relaxation. The functional is GGA-PBE.

Cell and atoms, written as POSCAR:
```
NpTl2F11
1.0
7.007 0.000 3.652
3.242 7.630 2.327
-0.032 -0.158 8.609
Np Tl F
2 4 22
Direct
0.750 0.750 0.750 Np
0.250 0.250 0.250 Np
0.636 0.678 0.322 Tl
0.364 0.322 0.678 Tl
0.864 0.178 0.822 Tl
0.136 0.822 0.178 Tl
0.620 0.729 0.575 F
0.380 0.271 0.425 F
0.075 0.575 0.729 F
0.880 0.925 0.771 F
0.925 0.425 0.271 F
0.120 0.075 0.229 F
0.425 0.771 0.925 F
0.575 0.229 0.075 F
0.500 0.500 0.500 F
0.000 0.000 0.000 F
0.863 0.787 0.213 F
0.137 0.213 0.787 F
0.637 0.287 0.713 F
0.363 0.713 0.287 F
0.447 0.984 0.289 F
0.553 0.016 0.711 F
0.280 0.289 0.984 F
0.053 0.211 0.516 F
0.720 0.711 0.016 F
0.947 0.789 0.484 F
0.220 0.516 0.211 F
0.780 0.484 0.789 F
```

## Properties
- crystal system = orthorhombic
- electronic total energy (eV per atom) = -5.081
- formation energy without anion corrections (meV/atom) = -2349

=====

# 15
This record from the Alexandria database describes NpTlF6 after structural relaxation. The functional is GGA-PBE.

Cell and atoms, written as POSCAR:
```
NpTlF6
1.0
2.133 3.013 5.817
4.042 -3.450 4.385
6.612 1.792 0.727
Np Tl F
1 1 6
Direct
0.000 0.000 0.000 Np
0.500 0.500 0.500 Tl
0.786 0.786 0.214 F
0.786 0.214 0.214 F
0.214 0.786 0.786 F
0.214 0.214 0.786 F
0.214 0.786 0.214 F
0.786 0.214 0.786 F
```

## Properties
- ΔE to the lowest computed polymorph (kJ per mole of atoms) = 0.00
- crystal system = cubic
- electronic total energy (eV per atom) = -6.321
- formation energy without anion corrections (meV/atom) = -3004

=====

# 16
This record from the Alexandria database describes NpTlF6 after structural relaxation. The functional is GGA-PBE.

Cell and atoms, written as POSCAR:
```
NpTlF6
1.0
-4.184 3.210 1.260
-0.962 -3.742 3.803
3.726 2.756 2.814
Np Tl F
1 1 6
Direct
0.500 0.500 0.500 Np
0.000 0.000 0.000 Tl
0.231 0.589 0.231 F
0.231 0.231 0.589 F
0.769 0.411 0.769 F
0.411 0.769 0.769 F
0.769 0.769 0.411 F
0.589 0.231 0.231 F
```

## Properties
- ΔE to the lowest computed polymorph (kJ per mole of atoms) = 2.15
- crystal system = trigonal
- electronic total energy (eV per atom) = -6.299
- formation energy without anion corrections (meV/atom) = -2982

=====

# 17
This record from the Alexandria database describes Np2Tl5F12 after structural relaxation. The functional is GGA-PBE.

Cell and atoms, written as POSCAR:
```
Np2Tl5F12
1.0
-2.236 6.876 0.956
-5.962 -5.577 -1.650
2.016 -0.624 9.201
Np Tl F
2 5 12
Direct
0.753 0.000 0.000 Np
0.247 0.000 0.000 Np
0.281 0.562 0.618 Tl
0.323 0.646 0.248 Tl
0.000 0.000 0.500 Tl
0.677 0.354 0.752 Tl
0.719 0.438 0.382 Tl
0.994 0.987 0.149 F
0.096 0.701 0.906 F
0.606 0.701 0.906 F
0.103 0.702 0.440 F
0.599 0.702 0.440 F
0.504 0.008 0.854 F
0.496 0.992 0.146 F
0.897 0.298 0.560 F
0.401 0.298 0.560 F
0.904 0.299 0.094 F
0.394 0.299 0.094 F
0.006 0.013 0.851 F
```

## Properties
- ΔE to the lowest computed polymorph (kJ per mole of atoms) = 7.24
- crystal system = monoclinic
- electronic total energy (eV per atom) = -5.684
- formation energy without anion corrections (meV/atom) = -2517

=====

# 18
This record from the Alexandria database describes Np2Tl5F12 after structural relaxation. The functional is GGA-PBE.

Cell and atoms, written as POSCAR:
```
Np2Tl5F12
1.0
6.753 -0.130 1.272
0.789 7.410 3.516
-0.223 0.706 8.207
Np Tl F
2 5 12
Direct
0.000 0.747 0.253 Np
0.000 0.253 0.747 Np
0.011 0.237 0.237 Tl
0.500 0.357 0.357 Tl
0.500 0.000 0.000 Tl
0.500 0.643 0.643 Tl
0.989 0.763 0.763 Tl
0.854 0.067 0.067 F
0.205 0.161 0.553 F
0.205 0.553 0.161 F
0.785 0.099 0.698 F
0.785 0.698 0.099 F
0.822 0.479 0.479 F
0.178 0.521 0.521 F
0.215 0.901 0.302 F
0.215 0.302 0.901 F
0.795 0.839 0.447 F
0.795 0.447 0.839 F
0.146 0.933 0.933 F
```

## Properties
- ΔE to the lowest computed polymorph (kJ per mole of atoms) = 0.00
- crystal system = monoclinic
- electronic total energy (eV per atom) = -5.759
- formation energy without anion corrections (meV/atom) = -2592

=====

# 19
This record from the Alexandria database describes NpTl3F7 after structural relaxation. The functional is GGA-PBE.

Cell and atoms, written as POSCAR:
```
NpTl3F7
1.0
5.607 0.103 2.708
-1.189 5.481 2.708
-0.452 -0.571 7.252
Np Tl F
1 3 7
Direct
0.961 0.961 0.026 Np
0.761 0.254 0.487 Tl
0.510 0.510 0.989 Tl
0.254 0.761 0.487 Tl
0.114 0.114 0.188 F
0.648 0.083 0.228 F
0.968 0.313 0.796 F
0.083 0.648 0.228 F
0.647 0.647 0.227 F
0.313 0.968 0.796 F
0.866 0.866 0.798 F
```

## Properties
- crystal system = monoclinic
- electronic total energy (eV per atom) = -5.613
- formation energy without anion corrections (meV/atom) = -2600